#one
VASP calculation (PBE) on an optimized crystal structure of LaAu2Br.

CIF file:
```
data_LaAu2Br
_chemical_formula_sum 'La1 Au2 Br1'
_space_group_name_H-M_alt 'P 1'
_space_group_IT_number 1
_space_group_name_Hall 'P 1'
_cell_length_a 5.234
_cell_length_b 5.234
_cell_length_c 5.234
_cell_angle_alpha 60.00
_cell_angle_beta 60.00
_cell_angle_gamma 60.00
loop_
_atom_site_label
_atom_site_fract_x
_atom_site_fract_y
_atom_site_fract_z
Au1 0.250 0.250 0.250
Au2 0.750 0.750 0.750
Br1 0.000 0.000 0.000
La1 0.500 0.500 0.500
```

#two
VASP calculation (PBE) on an optimized crystal structure of LaAu2Br.

CIF file:
```
data_LaAu2Br
_chemical_formula_sum 'La1 Au2 Br1'
_space_group_name_H-M_alt 'P 1'
_space_group_IT_number 1
_space_group_name_Hall 'P 1'
_cell_length_a 4.301
_cell_length_b 5.305
_cell_length_c 5.306
_cell_angle_alpha 65.76
_cell_angle_beta 90.00
_cell_angle_gamma 90.00
loop_
_atom_site_label
_atom_site_fract_x
_atom_site_fract_y
_atom_site_fract_z
Au1 0.000 0.992 0.992
Au2 0.000 0.508 0.508
Br1 0.500 0.250 0.250
La1 0.500 0.750 0.750
```

#three
VASP calculation (PBE) on an optimized crystal structure of LaAu2Br.

CIF file:
```
data_LaAu2Br
_chemical_formula_sum 'La1 Au2 Br1'
_space_group_name_H-M_alt 'P 1'
_space_group_IT_number 1
_space_group_name_Hall 'P 1'
_cell_length_a 4.258
_cell_length_b 4.258
_cell_length_c 5.345
_cell_angle_alpha 90.00
_cell_angle_beta 90.00
_cell_angle_gamma 90.00
loop_
_atom_site_label
_atom_site_fract_x
_atom_site_fract_y
_atom_site_fract_z
Au1 0.000 0.000 0.000
Au2 0.500 0.500 0.000
Br1 0.500 0.000 0.500
La1 0.000 0.500 0.500
```

#four
VASP calculation (PBE) on an optimized crystal structure of LaAu2Br.

CIF file:
```
data_LaAu2Br
_chemical_formula_sum 'La1 Au2 Br1'
_space_group_name_H-M_alt 'P 1'
_space_group_IT_number 1
_space_group_name_Hall 'P 1'
_cell_length_a 6.508
_cell_length_b 6.508
_cell_length_c 4.135
_cell_angle_alpha 72.09
_cell_angle_beta 72.09
_cell_angle_gamma 127.37
loop_
_atom_site_label
_atom_site_fract_x
_atom_site_fract_y
_atom_site_fract_z
Au1 0.000 0.000 0.000
Au2 0.500 0.500 0.000
Br1 0.500 0.000 0.500
La1 0.000 0.500 0.500
```

#two (47 meV per atom below the next structure)

#one
VASP calculation (PBE) on an optimized crystal structure of LaAu3Br.

CIF file:
```
data_LaAu3Br
_chemical_formula_sum 'La1 Au3 Br1'
_space_group_name_H-M_alt 'P 1'
_space_group_IT_number 1
_space_group_name_Hall 'P 1'
_cell_length_a 5.181
_cell_length_b 5.181
_cell_length_c 5.181
_cell_angle_alpha 90.00
_cell_angle_beta 90.00
_cell_angle_gamma 90.00
loop_
_atom_site_label
_atom_site_fract_x
_atom_site_fract_y
_atom_site_fract_z
Au1 0.000 0.500 0.000
Au2 0.000 0.000 0.500
Au3 0.500 0.000 0.000
Br1 0.000 0.000 0.000
La1 0.500 0.500 0.500
```

#two
VASP calculation (PBE) on an optimized crystal structure of LaAu3Br.

CIF file:
```
data_LaAu3Br
_chemical_formula_sum 'La1 Au3 Br1'
_space_group_name_H-M_alt 'P 1'
_space_group_IT_number 1
_space_group_name_Hall 'P 1'
_cell_length_a 5.732
_cell_length_b 5.732
_cell_length_c 5.732
_cell_angle_alpha 90.00
_cell_angle_beta 90.00
_cell_angle_gamma 90.00
loop_
_atom_site_label
_atom_site_fract_x
_atom_site_fract_y
_atom_site_fract_z
Au1 0.000 0.500 0.000
Au2 0.000 0.000 0.500
Au3 0.500 0.000 0.000
Br1 0.500 0.500 0.500
La1 0.000 0.000 0.000
```

#one (29 meV per atom below the next structure)

#one
VASP calculation (PBE) on an optimized crystal structure of LaAuSeBr2.

CIF file:
```
data_LaAuSeBr2
_chemical_formula_sum 'La1 Au1 Se1 Br2'
_space_group_name_H-M_alt 'P 1'
_space_group_IT_number 1
_space_group_name_Hall 'P 1'
_cell_length_a 5.665
_cell_length_b 4.950
_cell_length_c 5.665
_cell_angle_alpha 90.00
_cell_angle_beta 90.00
_cell_angle_gamma 90.00
loop_
_atom_site_label
_atom_site_fract_x
_atom_site_fract_y
_atom_site_fract_z
Au1 0.000 0.500 0.000
Se1 0.000 0.000 0.000
Br1 0.000 0.000 0.500
Br2 0.500 0.000 0.000
La1 0.500 0.500 0.500
```

#two
VASP calculation (PBE) on an optimized crystal structure of LaAuSeBr2.

CIF file:
```
data_LaAuSeBr2
_chemical_formula_sum 'La1 Au1 Se1 Br2'
_space_group_name_H-M_alt 'P 1'
_space_group_IT_number 1
_space_group_name_Hall 'P 1'
_cell_length_a 5.286
_cell_length_b 5.286
_cell_length_c 5.262
_cell_angle_alpha 90.00
_cell_angle_beta 90.00
_cell_angle_gamma 90.00
loop_
_atom_site_label
_atom_site_fract_x
_atom_site_fract_y
_atom_site_fract_z
Au1 0.000 0.000 0.000
Se1 0.000 0.000 0.500
Br1 0.000 0.500 0.000
Br2 0.500 0.000 0.000
La1 0.500 0.500 0.500
```

#two (377 meV per atom below the next structure)

#one
VASP calculation (PBE) on an optimized crystal structure of Li3AuBr.

CIF file:
```
data_Li3AuBr
_chemical_formula_sum 'Li3 Au1 Br1'
_space_group_name_H-M_alt 'P 1'
_space_group_IT_number 1
_space_group_name_Hall 'P 1'
_cell_length_a 4.960
_cell_length_b 4.960
_cell_length_c 4.960
_cell_angle_alpha 90.00
_cell_angle_beta 90.00
_cell_angle_gamma 90.00
loop_
_atom_site_label
_atom_site_fract_x
_atom_site_fract_y
_atom_site_fract_z
Au1 0.000 0.000 0.000
Br1 0.500 0.500 0.500
Li1 0.000 0.500 0.000
Li2 0.000 0.000 0.500
Li3 0.500 0.000 0.000
```

#two
VASP calculation (PBE) on an optimized crystal structure of Li3AuBr.

CIF file:
```
data_Li3AuBr
_chemical_formula_sum 'Li3 Au1 Br1'
_space_group_name_H-M_alt 'P 1'
_space_group_IT_number 1
_space_group_name_Hall 'P 1'
_cell_length_a 4.769
_cell_length_b 4.769
_cell_length_c 4.769
_cell_angle_alpha 90.00
_cell_angle_beta 90.00
_cell_angle_gamma 90.00
loop_
_atom_site_label
_atom_site_fract_x
_atom_site_fract_y
_atom_site_fract_z
Au1 0.500 0.500 0.500
Br1 0.000 0.000 0.000
Li1 0.000 0.500 0.000
Li2 0.000 0.000 0.500
Li3 0.500 0.000 0.000
```

#two (38 meV per atom below the next structure)

#one
VASP calculation (PBE) on an optimized crystal structure of Li2AuBr.

CIF file:
```
data_Li2AuBr
_chemical_formula_sum 'Li2 Au1 Br1'
_space_group_name_H-M_alt 'P 1'
_space_group_IT_number 1
_space_group_name_Hall 'P 1'
_cell_length_a 6.819
_cell_length_b 6.819
_cell_length_c 3.695
_cell_angle_alpha 89.40
_cell_angle_beta 89.40
_cell_angle_gamma 31.19
loop_
_atom_site_label
_atom_site_fract_x
_atom_site_fract_y
_atom_site_fract_z
Au1 0.499 0.499 0.630
Br1 0.245 0.245 0.120
Li1 0.051 0.051 0.128
Li2 0.706 0.706 0.622
```

#two
VASP calculation (PBE) on an optimized crystal structure of Li2AuBr.

CIF file:
```
data_Li2AuBr
_chemical_formula_sum 'Li2 Au1 Br1'
_space_group_name_H-M_alt 'P 1'
_space_group_IT_number 1
_space_group_name_Hall 'P 1'
_cell_length_a 4.828
_cell_length_b 4.828
_cell_length_c 4.828
_cell_angle_alpha 60.00
_cell_angle_beta 60.00
_cell_angle_gamma 60.00
loop_
_atom_site_label
_atom_site_fract_x
_atom_site_fract_y
_atom_site_fract_z
Au1 0.500 0.500 0.500
Br1 0.000 0.000 0.000
Li1 0.250 0.250 0.250
Li2 0.750 0.750 0.750
```

#one (157 meV per atom below the next structure)

#one
VASP calculation (PBE) on an optimized crystal structure of Li2AuBr.

CIF file:
```
data_Li2AuBr
_chemical_formula_sum 'Li2 Au1 Br1'
_space_group_name_H-M_alt 'P 1'
_space_group_IT_number 1
_space_group_name_Hall 'P 1'
_cell_length_a 5.419
_cell_length_b 5.419
_cell_length_c 5.419
_cell_angle_alpha 139.62
_cell_angle_beta 98.44
_cell_angle_gamma 95.25
loop_
_atom_site_label
_atom_site_fract_x
_atom_site_fract_y
_atom_site_fract_z
Au1 0.750 0.250 0.500
Br1 0.250 0.750 0.500
Li1 0.011 0.011 0.000
Li2 0.489 0.489 0.000
```

#two
VASP calculation (PBE) on an optimized crystal structure of Li2AuBr.

CIF file:
```
data_Li2AuBr
_chemical_formula_sum 'Li2 Au1 Br1'
_space_group_name_H-M_alt 'P 1'
_space_group_IT_number 1
_space_group_name_Hall 'P 1'
_cell_length_a 6.871
_cell_length_b 6.871
_cell_length_c 6.874
_cell_angle_alpha 31.90
_cell_angle_beta 31.90
_cell_angle_gamma 31.88
loop_
_atom_site_label
_atom_site_fract_x
_atom_site_fract_y
_atom_site_fract_z
Au1 0.750 0.750 0.750
Br1 0.250 0.250 0.250
Li1 0.997 0.997 0.998
Li2 0.503 0.503 0.502
```

#two (144 meV per atom below the next structure)